{
  "formula": "Tm3PuRu3",
  "functional": "PBE",
  "state": "optimized geometry",
  "lattice_angstrom": [[4.5366, -4.9498, 0.0000], [4.5366, 4.9498, 0.0000], [0.0000, 0.0000, 6.6736]],
  "species": ["Tm", "Tm", "Tm", "Tm", "Tm", "Tm", "Pu", "Pu", "Ru", "Ru", "Ru", "Ru", "Ru", "Ru"],
  "frac_coords": [[0.2403, 0.7597, 0.0000], [0.2554, 0.2554, 0.0000], [0.2659, 0.2659, 0.5000], [0.7341, 0.7341, 0.5000], [0.7446, 0.7446, 0.0000], [0.7597, 0.2403, 0.0000], [0.2382, 0.7618, 0.5000], [0.7618, 0.2382, 0.5000], [0.0000, 0.0000, 0.2537], [0.0000, 0.0000, 0.7463], [0.0000, 0.5000, 0.2654], [0.0000, 0.5000, 0.7346], [0.5000, 0.0000, 0.2654], [0.5000, 0.0000, 0.7346]],
  "dft_energy_ev_per_atom": -8.28,
  "formation_enthalpy_0k_ev_per_fu": -2.38,
  "space_group": "Cmmm"
}

---

{
  "formula": "ErGa4Ru",
  "functional": "PBE",
  "state": "optimized geometry",
  "lattice_angstrom": [[7.2898, 0.0000, 0.0000], [0.0000, 7.2898, 0.0000], [0.0000, 0.0000, 5.1299]],
  "species": ["Er", "Er", "Ga", "Ga", "Ga", "Ga", "Ga", "Ga", "Ga", "Ga", "Ru", "Ru"],
  "frac_coords": [[0.0000, 0.0000, 0.0000], [0.5000, 0.5000, 0.5000], [0.0000, 0.3304, 0.5000], [0.0000, 0.6696, 0.5000], [0.1696, 0.5000, 0.0000], [0.3304, 0.0000, 0.5000], [0.5000, 0.1696, 0.0000], [0.5000, 0.8304, 0.0000], [0.6696, 0.0000, 0.5000], [0.8304, 0.5000, 0.0000], [0.0000, 0.0000, 0.5000], [0.5000, 0.5000, 0.0000]],
  "polymorph_energy_mev_per_atom": 391,
  "dft_energy_ev_per_atom": -4.43,
  "formation_enthalpy_0k_ev_per_fu": -0.66,
  "space_group": "I4/mmm"
}

---

{
  "formula": "TaCd",
  "functional": "PBE",
  "state": "optimized geometry",
  "lattice_angstrom": [[3.0724, 0.0000, 0.0000], [0.0000, 5.1692, 0.0000], [0.0000, 0.0000, 9.9066]],
  "species": ["Ta", "Ta", "Ta", "Ta", "Cd", "Cd", "Cd", "Cd"],
  "frac_coords": [[0.0000, 0.2500, 0.1362], [0.0000, 0.7500, 0.8638], [0.5000, 0.2500, 0.3638], [0.5000, 0.7500, 0.6362], [0.0000, 0.2500, 0.6245], [0.0000, 0.7500, 0.3755], [0.5000, 0.2500, 0.8755], [0.5000, 0.7500, 0.1245]],
  "dft_energy_ev_per_atom": -6.01,
  "formation_enthalpy_0k_ev_per_fu": 0.75,
  "space_group": "Imma"
}

---

{
  "formula": "CaPmLuAl",
  "functional": "PBE",
  "state": "optimized geometry",
  "lattice_angstrom": [[7.6319, 0.0000, 0.0000], [0.0000, 7.6319, 0.0000], [0.0000, 0.0000, 7.6319]],
  "species": ["Ca", "Ca", "Ca", "Ca", "Pm", "Pm", "Pm", "Pm", "Lu", "Lu", "Lu", "Lu", "Al", "Al", "Al", "Al"],
  "frac_coords": [[0.0000, 0.0000, 0.0000], [0.0000, 0.5000, 0.5000], [0.5000, 0.0000, 0.5000], [0.5000, 0.5000, 0.0000], [0.2500, 0.2500, 0.2500], [0.2500, 0.7500, 0.7500], [0.7500, 0.2500, 0.7500], [0.7500, 0.7500, 0.2500], [0.2500, 0.2500, 0.7500], [0.2500, 0.7500, 0.2500], [0.7500, 0.2500, 0.2500], [0.7500, 0.7500, 0.7500], [0.0000, 0.0000, 0.5000], [0.0000, 0.5000, 0.0000], [0.5000, 0.0000, 0.0000], [0.5000, 0.5000, 0.5000]],
  "dft_energy_ev_per_atom": -3.79,
  "formation_enthalpy_0k_ev_per_fu": -0.15,
  "space_group": "F-43m"
}

---

Repeat the first record exactly.
{
  "formula": "Tm3PuRu3",
  "functional": "PBE",
  "state": "optimized geometry",
  "lattice_angstrom": [[4.5366, -4.9498, 0.0000], [4.5366, 4.9498, 0.0000], [0.0000, 0.0000, 6.6736]],
  "species": ["Tm", "Tm", "Tm", "Tm", "Tm", "Tm", "Pu", "Pu", "Ru", "Ru", "Ru", "Ru", "Ru", "Ru"],
  "frac_coords": [[0.2403, 0.7597, 0.0000], [0.2554, 0.2554, 0.0000], [0.2659, 0.2659, 0.5000], [0.7341, 0.7341, 0.5000], [0.7446, 0.7446, 0.0000], [0.7597, 0.2403, 0.0000], [0.2382, 0.7618, 0.5000], [0.7618, 0.2382, 0.5000], [0.0000, 0.0000, 0.2537], [0.0000, 0.0000, 0.7463], [0.0000, 0.5000, 0.2654], [0.0000, 0.5000, 0.7346], [0.5000, 0.0000, 0.2654], [0.5000, 0.0000, 0.7346]],
  "dft_energy_ev_per_atom": -8.28,
  "formation_enthalpy_0k_ev_per_fu": -2.38,
  "space_group": "Cmmm"
}